# 1
This record from the Alexandria database describes a geometry-optimized Ti3CO2 structure. The functional is GGA-PBE.

The calculation puts the volume at 10.11 Å³ per atom. As for the uncorrected formation energy: -1983 meV/atom. Its space-group type is Fddd (70).

Cell lengths 5.2976, 5.2976, 9.6544 Å; angles 100.60, 100.60, 109.26 degrees
Last column: nearest neighbours and their distance in Å.
Positions (direct):
Ti: 0.1640 0.6845 0.8263  2 C 2.07, 4 O 2.17-2.25
Ti: 0.6624 0.1419 0.8263  2 C 2.07, 4 O 2.17-2.25
Ti: 0.0860 0.0655 0.6737  2 C 2.07, 4 O 2.17-2.25
Ti: 0.5876 0.6081 0.6737  2 C 2.07, 4 O 2.17-2.25
Ti: 0.0226 0.5226 0.5000  2 C 2.07, 4 O 2.16-2.25
Ti: 0.4774 0.9774 0.5000  2 C 2.07, 4 O 2.16-2.25
Ti: 0.3919 0.4124 0.3263  2 C 2.07, 4 O 2.17-2.25
Ti: 0.9345 0.9140 0.3263  2 C 2.07, 4 O 2.17-2.25
Ti: 0.8581 0.3376 0.1737  2 C 2.07, 4 O 2.17-2.25
Ti: 0.3155 0.8360 0.1737  2 C 2.07, 4 O 2.17-2.25
Ti: 0.2274 0.2274 0.0000  2 C 2.07, 4 O 2.16-2.25
Ti: 0.7726 0.7726 0.0000  2 C 2.07, 4 O 2.16-2.25
C: 0.9166 0.9166 0.8332  6 Ti 2.07
C: 0.3334 0.8334 0.6668  6 Ti 2.07
C: 0.1666 0.6666 0.3332  6 Ti 2.07
C: 0.0834 0.0834 0.1668  6 Ti 2.07
O: 0.9995 0.4995 0.9990  6 Ti 2.16-2.25
O: 0.4178 0.4178 0.8357  6 Ti 2.18-2.25
O: 0.8322 0.3322 0.6643  6 Ti 2.18-2.25
O: 0.2505 0.2505 0.5010  6 Ti 2.16-2.25
O: 0.7495 0.7495 0.4990  6 Ti 2.16-2.25
O: 0.6678 0.1678 0.3357  6 Ti 2.18-2.25
O: 0.5822 0.5822 0.1643  6 Ti 2.18-2.25
O: 0.5005 0.0005 0.0010  6 Ti 2.16-2.25

---

# 2
This record from the Alexandria database describes a geometry-optimized Ti8C2O3 structure. The functional is GGA-PBE.

The calculation puts the volume at 11.91 Å³ per atom. As for the uncorrected formation energy: -1491 meV/atom. Its space-group type is C2/m (12).

Cell lengths 5.1124, 6.0896, 6.0896 Å; angles 59.93, 73.33, 73.33 degrees
Last column: nearest neighbours and their distance in Å.
Positions (direct):
Ti: 0.7588 0.6245 0.6245  1 C 2.10, 2 O 2.13
Ti: 0.2412 0.3755 0.3755  1 C 2.10, 2 O 2.13
Ti: 0.7491 0.1261 0.1261  1 C 2.10, 3 O 2.12-2.14
Ti: 0.2509 0.8739 0.8739  1 C 2.10, 3 O 2.12-2.14
Ti: 0.7577 0.6267 0.1152  2 C 2.10-2.11, 2 O 2.12-2.15
Ti: 0.7577 0.1152 0.6267  2 C 2.10-2.11, 2 O 2.12-2.15
Ti: 0.2423 0.8848 0.3733  2 C 2.10-2.11, 2 O 2.12-2.15
Ti: 0.2423 0.3733 0.8848  2 C 2.10-2.11, 2 O 2.12-2.15
C: 0.9933 0.2518 0.2518  6 Ti 2.10-2.11
C: 0.0067 0.7482 0.7482  6 Ti 2.10-2.11
O: 0.5000 0.0000 0.0000  6 Ti 2.12-2.15
O: 0.0000 0.2479 0.7521  6 Ti 2.12-2.14
O: 0.0000 0.7521 0.2479  6 Ti 2.12-2.14

---

# 3
This record from the Alexandria database describes a geometry-optimized TiC3O structure. The functional is GGA-PBE.

The calculation puts the volume at 8.76 Å³ per atom. As for the uncorrected formation energy: 2205 meV/atom. The offset from the most stable computed form comes out at 0.0 kJ/mol of formula units. Its space-group type is Pm-3m (221).

Cell lengths 3.5255, 3.5255, 3.5255 Å; angles 90.00, 90.00, 90.00 degrees
Last column: nearest neighbours and their distance in Å.
Positions (direct):
C: 0.0000 0.5000 0.0000  2 O 1.76
C: 0.0000 0.0000 0.5000  2 O 1.76
C: 0.5000 0.0000 0.0000  2 O 1.76
O: 0.0000 0.0000 0.0000  6 C 1.76
Ti: 0.5000 0.5000 0.5000  12 C 2.49

---

# 4
This record from the Alexandria database describes a geometry-optimized TiTlCO5 structure. The functional is GGA-PBE.

The calculation puts the volume at 11.27 Å³ per atom. As for the uncorrected formation energy: -1521 meV/atom. Its space-group type is C2/c (15).

Cell lengths 5.3968, 5.3968, 7.0962 Å; angles 105.47, 105.47, 104.36 degrees
Last column: nearest neighbours and their distance in Å.
Positions (direct):
Ti: 0.0000 0.0000 0.5000  6 O 1.87-2.08
Ti: 0.0000 0.0000 0.0000  6 O 1.87-2.08
Tl: 0.3388 0.6612 0.2500  3 O 2.29-2.40
Tl: 0.6612 0.3388 0.7500  3 O 2.29-2.40
C: 0.6851 0.3149 0.2500  4 O 1.43
C: 0.3149 0.6851 0.7500  4 O 1.43
O: 0.0704 0.9296 0.2500  2 Ti 1.87
O: 0.9296 0.0704 0.7500  2 Ti 1.87
O: 0.8588 0.2988 0.1305  1 C 1.43
O: 0.1412 0.7012 0.8695  1 C 1.43
O: 0.7012 0.1412 0.3695  1 C 1.43
O: 0.2988 0.8588 0.6305  1 C 1.43
O: 0.7613 0.5884 0.3898  1 C 1.43
O: 0.2387 0.4116 0.6102  1 C 1.43
O: 0.4116 0.2387 0.1102  1 C 1.43
O: 0.5884 0.7613 0.8898  1 C 1.43

---

# 5
This record from the Alexandria database describes a geometry-optimized TiZnC2O structure. The functional is GGA-PBE.

The calculation puts the volume at 13.40 Å³ per atom. As for the uncorrected formation energy: 1742 meV/atom. Its space-group type is P4/mmm (123).

Cell lengths 3.5311, 5.3728, 3.5311 Å; angles 90.00, 90.00, 90.00 degrees
Last column: nearest neighbours and their distance in Å.
Positions (direct):
Zn: 0.0000 0.0000 0.0000  4 C 1.77
C: 0.0000 0.0000 0.5000  2 Zn 1.77
C: 0.5000 0.0000 0.0000  2 Zn 1.77
O: 0.5000 0.5000 0.5000  4 Ti 2.50
Ti: 0.0000 0.5000 0.0000  4 O 2.50, 2 Zn 2.69

---

# 6
This record from the Alexandria database describes a geometry-optimized Tl3CO3 structure. The functional is GGA-PBE.

The calculation puts the volume at 26.11 Å³ per atom. As for the uncorrected formation energy: -403 meV/atom. The offset from the most stable computed form comes out at 317.6 kJ/mol of formula units. Its space-group type is P2_1/m (11).

Cell lengths 3.8982, 12.5261, 8.9224 Å; angles 57.03, 90.00, 90.00 degrees
Last column: nearest neighbours and their distance in Å.
Positions (direct):
Tl: 0.7500 0.3912 0.9698  4 O 2.33-2.41
Tl: 0.7500 0.0079 0.1722  1 O 2.26
Tl: 0.7500 0.8136 0.6282  3 O 2.39-2.48
Tl: 0.2500 0.6088 0.0302  4 O 2.33-2.41
Tl: 0.2500 0.9921 0.8278  1 O 2.26
Tl: 0.2500 0.1864 0.3718  3 O 2.39-2.48
C: 0.2500 0.6920 0.4021  1 O 1.15
C: 0.7500 0.3080 0.5979  1 O 1.15
O: 0.2500 0.3969 0.1090  4 Tl 2.33-2.39
O: 0.2500 0.5883 0.5212  1 C 1.15
O: 0.2500 0.8290 0.7873  4 Tl 2.26-2.48
O: 0.7500 0.6031 0.8910  4 Tl 2.33-2.39
O: 0.7500 0.4117 0.4788  1 C 1.15
O: 0.7500 0.1710 0.2127  4 Tl 2.26-2.48